(a)
20
Lattice="2.742 0.000 0.000 0.017 8.804 0.000 0.936 0.037 12.727" Properties=species:S:1:pos:R:3 comment="PBE NbV3Mo6, relaxed" spacegroup="No. 2" dos_at_fermi_per_ev_cell=14.5 pbc="T T T"
Nb 0.452 1.154 0.671
Nb 3.243 7.687 12.056
V 1.400 3.338 9.513
V 1.376 1.113 5.732
V 1.366 3.371 1.954
V 2.329 5.469 10.773
V 2.319 7.728 6.995
V 2.295 5.503 3.214
Mo 0.458 3.339 4.454
Mo 0.480 7.722 4.516
Mo 0.471 5.455 0.684
Mo 1.412 7.695 9.474
Mo 1.383 5.540 5.731
Mo 1.381 7.665 1.988
Mo 2.314 1.176 10.740
Mo 2.312 3.301 6.996
Mo 2.283 1.146 3.253
Mo 3.224 3.385 12.043
Mo 3.215 1.119 8.211
Mo 3.237 5.502 8.273


(b)
20
Lattice="9.591 0.000 0.000 0.000 3.112 0.000 -3.717 0.000 10.639" Properties=species:S:1:pos:R:3 comment="PBE NbV3Mo6, relaxed" spacegroup="No. 11" dos_at_fermi_per_ev_cell=18.4 pbc="T T T"
Nb -0.389 0.778 2.799
Nb 6.264 2.334 7.840
V -1.375 0.778 6.145
V -0.194 2.334 10.336
V 2.458 0.778 4.260
V 3.416 2.334 6.379
V 6.068 0.778 0.303
V 7.249 2.334 4.494
Mo -2.598 0.778 10.387
Mo -0.671 2.334 7.995
Mo 0.554 2.334 5.013
Mo 1.654 2.334 2.004
Mo 1.444 0.778 7.017
Mo 3.806 0.778 1.596
Mo 2.069 2.334 9.043
Mo 4.430 2.334 3.622
Mo 4.221 0.778 8.635
Mo 5.320 0.778 5.626
Mo 6.545 0.778 2.644
Mo 8.472 2.334 0.252


Of them, (a) has the highest stability.


(a)
10
Lattice="6.783 0.000 0.000 0.000 6.783 0.000 0.000 0.000 3.580" Properties=species:S:1:pos:R:3 comment="PBE Nb2V2Mo, relaxed" spacegroup="No. 127" dos_at_fermi_per_ev_cell=8.6 pbc="T T T"
Nb 1.145 2.246 0.000
Nb 2.246 5.638 0.000
Nb 4.536 1.145 0.000
Nb 5.638 4.536 0.000
V 0.922 4.314 1.790
V 2.469 0.922 1.790
V 4.314 5.860 1.790
V 5.860 2.469 1.790
Mo 0.000 0.000 1.790
Mo 3.391 3.391 1.790


(b)
10
Lattice="4.772 -2.685 0.000 4.772 2.685 0.000 -1.775 0.000 6.497" Properties=species:S:1:pos:R:3 comment="PBE Nb2V2Mo, relaxed" spacegroup="No. 15" dos_at_fermi_per_ev_cell=9.3 pbc="T T T"
Nb 1.256 0.651 0.930
Nb 0.368 -0.651 4.179
Nb 7.400 0.651 2.318
Nb 6.512 -0.651 5.566
V 2.661 0.753 3.383
V 4.219 0.753 6.362
V 3.549 -0.753 0.135
V 5.107 -0.753 3.113
Mo 4.328 1.018 1.624
Mo 3.440 -1.018 4.873


Of them, (b) has the highest stability.


(a)
14
Lattice="3.228 0.000 0.000 0.000 21.868 0.000 0.000 0.000 3.140" Properties=species:S:1:pos:R:3 comment="PBE NbV2Mo4, relaxed" spacegroup="No. 65" dos_at_fermi_per_ev_cell=14.0 pbc="T T T"
Nb 0.000 0.000 0.000
Nb 1.614 10.934 0.000
V 0.000 6.342 1.570
V 0.000 15.527 1.570
V 1.614 4.592 1.570
V 1.614 17.276 1.570
Mo 0.000 3.224 0.000
Mo 0.000 9.296 1.570
Mo 0.000 12.572 1.570
Mo 0.000 18.644 0.000
Mo 1.614 1.638 1.570
Mo 1.614 7.710 0.000
Mo 1.614 14.158 0.000
Mo 1.614 20.230 1.570


(b)
14
Lattice="6.463 0.000 0.000 0.000 6.463 0.000 0.000 0.000 5.454" Properties=species:S:1:pos:R:3 comment="PBE NbV2Mo4, relaxed" spacegroup="No. 139" dos_at_fermi_per_ev_cell=13.9 pbc="T T T"
Nb 0.000 0.000 0.000
Nb 3.232 3.232 2.727
V 0.000 3.232 1.363
V 0.000 3.232 4.090
V 3.232 0.000 1.363
V 3.232 0.000 4.090
Mo 1.272 1.272 2.727
Mo 1.272 5.191 2.727
Mo 1.959 1.959 0.000
Mo 1.959 4.504 0.000
Mo 4.504 1.959 0.000
Mo 4.504 4.504 0.000
Mo 5.191 1.272 2.727
Mo 5.191 5.191 2.727


Of them, (a) has the highest stability.


(a)
9
Lattice="4.341 -2.523 0.000 4.341 2.523 0.000 -2.573 0.000 6.177" Properties=species:S:1:pos:R:3 comment="PBE NbV6Mo2, relaxed" spacegroup="No. 12" dos_at_fermi_per_ev_cell=11.3 pbc="T T T"
Nb 0.000 0.000 0.000
V 3.051 1.215 1.859
V 0.930 0.000 2.913
V 3.059 1.215 4.318
V 3.051 -1.215 1.859
V 5.180 0.000 3.265
V 3.059 -1.215 4.318
Mo 0.506 0.000 5.480
Mo 5.604 0.000 0.697


(b)
9
Lattice="4.831 -1.540 0.000 4.831 1.540 0.000 -2.724 0.000 8.812" Properties=species:S:1:pos:R:3 comment="PBE NbV6Mo2, relaxed" spacegroup="No. 12" dos_at_fermi_per_ev_cell=12.4 pbc="T T T"
Nb 0.000 0.000 0.000
V -0.843 0.000 3.004
V 2.894 0.000 1.052
V 2.050 0.000 3.912
V 4.887 0.000 4.900
V 4.043 0.000 7.760
V 7.780 0.000 5.808
Mo 1.036 0.000 6.773
Mo 5.901 0.000 2.039


Of them, (b) has the highest stability.